VASP calculation (GGA+U) on a relaxed Tl3V2SbO8 crystal.

The total magnetic moment is 0.00 μB/cell. The calculation puts the raw total energy at -0.4511 Ry/atom.

The structure belongs to space group P-3m1 (No. 164); the cell edges are 6.0720, 6.0720 and 7.8214 Å and the angles 90.00°, 90.00° and 120.00°. The asymmetric unit holds Tl at (0.0000, 0.0000, 0.0000), Tl at (0.3333, 0.6667, 0.7103), V at (0.3333, 0.6667, 0.2521), Sb at (0.0000, 0.0000, 0.5000), O at (0.1731, 0.3462, 0.3233) and O at (0.3333, 0.6667, 0.0359).